Density functional theory data (PBE+U) for crystalline CaMn2AsO4 at its relaxed geometry.

The structure belongs to space group C2/c (No. 15); the cell edges are 8.831, 8.925 and 6.540 Å and the angles 90.00°, 126.15° and 90.00°. The distinct sites, in fractional coordinates, are Ca at (0.250, 0.250, 0.000), Mn at (0.000, 0.000, 0.000), Mn at (0.250, 0.250, 0.500), As at (0.000, 0.500, 0.000), O at (0.020, 0.256, 0.521) and O at (0.209, 0.010, 0.390).

For the total magnetic moment, the calculation gives 39.01 μB/cell. As for the density of states at the Fermi level: 0.086 states/eV per atom. The total energy comes out at -216.5 eV per cell.